(1)
VASP calculation (PBE) on an optimized crystal structure of HgIrO4.

Results
Calculated density: 8.59 g cm⁻³
Spin magnetization: 0.00 Bohr magnetons per cell
Crystal system: monoclinic
Electronic total energy: -31.4 eV/f.u.
Excess energy over the best structure of this formula in the dataset: 0 meV/atom
Symmetry: No. 15

Lattice parameters (Å, degrees): 5.667 5.667 6.235 106.48 106.48 100.36
Element x y z (fractional)
Hg 0.112 0.888 0.750
Hg 0.888 0.112 0.250
Ir 0.491 0.509 0.250
Ir 0.509 0.491 0.750
O 0.174 0.263 0.096
O 0.263 0.174 0.596
O 0.345 0.634 0.524
O 0.366 0.655 0.976
O 0.634 0.345 0.024
O 0.655 0.366 0.476
O 0.737 0.826 0.404
O 0.826 0.737 0.904


(2)
VASP calculation (PBE) on an optimized crystal structure of Hg2IrO5.

Results
Calculated density: 6.99 g cm⁻³
Spin magnetization: 1.05 Bohr magnetons per cell
Crystal system: monoclinic
Electronic total energy: -37.0 eV/f.u.
Symmetry: No. 8

Lattice parameters (Å, degrees): 5.638 5.638 5.399 104.41 104.41 80.24
Element x y z (fractional)
Hg 0.244 0.756 0.000
Hg 0.756 0.244 0.000
Ir 0.723 0.723 0.495
O 0.509 0.509 0.211
O 0.560 0.985 0.360
O 0.633 0.633 0.750
O 0.952 0.952 0.770
O 0.985 0.560 0.360


Please write out number 2 again, unchanged.
VASP calculation (PBE) on an optimized crystal structure of Hg2IrO5.

Results
Calculated density: 6.99 g cm⁻³
Spin magnetization: 1.05 Bohr magnetons per cell
Crystal system: monoclinic
Electronic total energy: -37.0 eV/f.u.
Symmetry: No. 8

Lattice parameters (Å, degrees): 5.638 5.638 5.399 104.41 104.41 80.24
Element x y z (fractional)
Hg 0.244 0.756 0.000
Hg 0.756 0.244 0.000
Ir 0.723 0.723 0.495
O 0.509 0.509 0.211
O 0.560 0.985 0.360
O 0.633 0.633 0.750
O 0.952 0.952 0.770
O 0.985 0.560 0.360